Below is HoZrZn after structural relaxation, with properties calculated at the PBE-GGA level.

a = 3.3762 Å, b = 3.3762 Å, c = 6.4133 Å
α = 105.26°, β = 105.26°, γ = 90.00°
Element x y z (fractional)
Zn 0.6761 0.6761 0.3522
Ho 0.0071 0.0071 0.0143
Zr 0.3167 0.3167 0.6335

Results
* energy above the lowest structure with this stoichiometry: 42 meV/atom
* uncorrected energy: -4.961 eV/atom
* calculated formation energy: -0.16 eV per atom
* symmetry: I4mm

***

Below is SbSeN2 after structural relaxation, with properties calculated at the PBE-GGA level.

a = 6.0603 Å, b = 6.0603 Å, c = 3.3826 Å
α = 112.38°, β = 112.38°, γ = 42.44°
Element x y z (fractional)
Sb 0.1881 0.1881 0.0255
Se 0.8849 0.8849 0.8587
N 0.0644 0.0644 0.3494
N 0.7529 0.7529 0.0276

Results
* energy above the lowest structure with this stoichiometry: 212 meV/atom
* uncorrected energy: -5.180 eV/atom
* symmetry: Cm
* ΔE_f (raw): 0.88 eV per atom

***

Below is NaAg after structural relaxation, with properties calculated at the PBE-GGA level.

a = 5.9511 Å, b = 5.9511 Å, c = 6.0298 Å
α = 90.00°, β = 90.00°, γ = 90.00°
Element x y z (fractional)
Na 0.1884 0.8116 0.0000
Na 0.6884 0.6884 0.5000
Na 0.3116 0.3116 0.5000
Na 0.8116 0.1884 0.0000
Ag 0.3300 0.3300 0.0000
Ag 0.8300 0.1700 0.5000
Ag 0.1700 0.8300 0.5000
Ag 0.6700 0.6700 0.0000

Results
* uncorrected energy: -1.914 eV/atom
* calculated formation energy: 0.17 eV per atom
* symmetry: P4_2/mnm

***

Below is Os3IBr after structural relaxation, with properties calculated at the PBE-GGA level.

a = 4.6718 Å, b = 4.6718 Å, c = 4.6718 Å
α = 90.00°, β = 90.00°, γ = 90.00°
Each line ends with the local moment (μB).
Element x y z (fractional)
I 0.5000 0.5000 0.5000  0.06
Os 0.0000 0.5000 0.0000  0.41
Os 0.0000 0.0000 0.5000  0.29
Os 0.5000 0.0000 0.0000  0.34
Br 0.0000 0.0000 0.0000  0.00

Results
* energy above the lowest structure with this stoichiometry: 0 meV/atom
* uncorrected energy: -4.640 eV/atom
* symmetry: Pm-3m
* ΔE_f (raw): 2.74 eV per atom

***

Below is TbPmYPu after structural relaxation, with properties calculated at the PBE-GGA level.

a = 5.6473 Å, b = 5.6473 Å, c = 5.6473 Å
α = 60.00°, β = 60.00°, γ = 60.00°
Each line ends with the local moment (μB).
Element x y z (fractional)
Y 0.2500 0.2500 0.2500  0.16
Pm 0.0000 0.0000 0.0000  0.10
Tb 0.7500 0.7500 0.7500  0.21
Pu 0.5000 0.5000 0.5000  5.57

Results
* uncorrected energy: -7.328 eV/atom
* calculated formation energy: 0.22 eV per atom
* symmetry: F-43m

***

Below is KCd2OsPb after structural relaxation, with properties calculated at the PBE-GGA level.

a = 5.6767 Å, b = 6.2454 Å, c = 5.6767 Å
α = 90.00°, β = 90.00°, γ = 90.00°
Each line ends with the local moment (μB).
Element x y z (fractional)
Pb 0.0000 0.5000 0.0000  -0.30
K 0.0000 0.0000 0.0000  -0.04
Os 0.5000 0.5000 0.5000  2.77
Cd 0.0000 0.0000 0.5000  -0.02
Cd 0.5000 0.0000 0.0000  -0.01

Results
* uncorrected energy: -1.528 eV/atom
* calculated formation energy: 2.05 eV per atom
* symmetry: P4/mmm

***

Below is Tb2YCu after structural relaxation, with properties calculated at the PBE-GGA level.

a = 3.6566 Å, b = 3.6566 Å, c = 9.9726 Å
α = 79.44°, β = 79.44°, γ = 60.00°
Each line ends with the local moment (μB).
Element x y z (fractional)
Tb 0.0676 0.0676 0.7972  0.02
Tb 0.2658 0.2658 0.2027  0.07
Y 0.5004 0.5004 0.4988  0.13
Cu 0.6662 0.6662 0.0013  0.00

Results
* energy above the lowest structure with this stoichiometry: 140 meV/atom
* uncorrected energy: -4.920 eV/atom
* calculated formation energy: 0.03 eV per atom
* symmetry: R3m

***

Below is K2PdAuI6 after structural relaxation, with properties calculated at the PBE-GGA level.

a = 8.5516 Å, b = 8.2675 Å, c = 10.7861 Å
α = 90.00°, β = 91.27°, γ = 90.00°
Element x y z (fractional)
K 0.0054 0.9662 0.2488
K 0.5054 0.5338 0.7488
K 0.9946 0.0338 0.7512
K 0.4946 0.4662 0.2512
Pd 0.5000 0.0000 0.5000
Pd 0.0000 0.5000 0.0000
Au 0.5000 0.0000 0.0000
Au 0.0000 0.5000 0.5000
I 0.2960 0.7515 0.0354
I 0.7960 0.7485 0.5354
I 0.7040 0.2485 0.9646
I 0.2040 0.2515 0.4646
I 0.3051 0.7555 0.4507
I 0.8051 0.7445 0.9507
I 0.6949 0.2445 0.5493
I 0.1949 0.2555 0.0493
I 0.9201 0.5396 0.2409
I 0.4201 0.9604 0.7408
I 0.0799 0.4604 0.7591
I 0.5799 0.0396 0.2592

Results
* uncorrected energy: -2.637 eV/atom
* symmetry: P2_1/c
* ΔE_f (raw): -0.64 eV per atom

***

Below is Cd3NiSe after structural relaxation, with properties calculated at the PBE-GGA level.

a = 4.9555 Å, b = 4.9555 Å, c = 4.9555 Å
α = 90.00°, β = 90.00°, γ = 90.00°
Element x y z (fractional)
Ni 0.0000 0.0000 0.0000
Se 0.5000 0.5000 0.5000
Cd 0.0000 0.5000 0.0000
Cd 0.0000 0.0000 0.5000
Cd 0.5000 0.0000 0.0000

Results
* energy above the lowest structure with this stoichiometry: 0 meV/atom
* uncorrected energy: -2.148 eV/atom
* symmetry: Pm-3m
* ΔE_f (raw): 0.25 eV per atom

***

Below is Th3Zn4Ag4 after structural relaxation, with properties calculated at the PBE-GGA level.

a = 3.4135 Å, b = 4.7297 Å, c = 14.8515 Å
α = 80.89°, β = 83.38°, γ = 90.01°
Element x y z (fractional)
Th 0.1421 0.6415 0.7165
Th 0.8579 0.3585 0.2835
Th 0.0000 0.0000 0.0000
Zn 0.5465 0.5461 0.9077
Zn 0.4535 0.4539 0.0923
Zn 0.3114 0.8119 0.3768
Zn 0.6887 0.1881 0.6232
Ag 0.5942 0.0935 0.8124
Ag 0.2608 0.2608 0.4786
Ag 0.7393 0.7392 0.5213
Ag 0.4058 0.9065 0.1876

Results
* energy above the lowest structure with this stoichiometry: 0 meV/atom
* uncorrected energy: -3.706 eV/atom
* calculated formation energy: -0.18 eV per atom
* symmetry: P-1

***

Below is Ac2TbPr after structural relaxation, with properties calculated at the PBE-GGA level.

a = 3.8730 Å, b = 3.8730 Å, c = 10.4292 Å
α = 90.00°, β = 90.00°, γ = 90.00°
Element x y z (fractional)
Pr 0.5000 0.5000 0.5000
Ac 0.0000 0.0000 0.7551
Ac 0.0000 0.0000 0.2449
Tb 0.5000 0.5000 0.0000

Results
* energy above the lowest structure with this stoichiometry: 7 meV/atom
* uncorrected energy: -4.368 eV/atom
* calculated formation energy: 0.04 eV per atom
* symmetry: P4/mmm

***

Below is AgAu2 after structural relaxation, with properties calculated at the PBE-GGA level.

a = 13.6748 Å, b = 13.6748 Å, c = 13.6748 Å
α = 167.97°, β = 167.97°, γ = 17.04°
Element x y z (fractional)
Ag 0.7500 0.2500 0.5000
Ag 0.0000 0.0000 0.0000
Au 0.4208 0.4208 0.0000
Au 0.5792 0.5792 0.0000
Au 0.1708 0.6708 0.5000
Au 0.3292 0.8292 0.5000

Results
* energy above the lowest structure with this stoichiometry: 56 meV/atom
* uncorrected energy: -3.120 eV/atom
* calculated formation energy: 0.01 eV per atom
* symmetry: I4_1/amd

***

Below is UNiSnPd after structural relaxation, with properties calculated at the PBE-GGA level.

a = 4.7319 Å, b = 4.7319 Å, c = 4.7319 Å
α = 60.00°, β = 60.00°, γ = 60.00°
Each line ends with the local moment (μB).
Element x y z (fractional)
Ni 0.2500 0.2500 0.2500  -0.27
U 0.0000 0.0000 0.0000  1.97
Sn 0.5000 0.5000 0.5000  -0.02
Pd 0.7500 0.7500 0.7500  -0.07

Results
* uncorrected energy: -6.846 eV/atom
* calculated formation energy: -0.28 eV per atom
* symmetry: F-43m

***

Below is Tl2HgSb after structural relaxation, with properties calculated at the PBE-GGA level.

a = 6.8512 Å, b = 6.8512 Å, c = 6.8512 Å
α = 150.86°, β = 130.47°, γ = 58.50°
Element x y z (fractional)
Hg 0.7500 0.2500 0.5000
Sb 0.2500 0.7500 0.5000
Tl 0.0100 0.0100 0.0000
Tl 0.4900 0.4900 0.0000

Results
* energy above the lowest structure with this stoichiometry: 87 meV/atom
* uncorrected energy: -2.211 eV/atom
* symmetry: Immm
* ΔE_f (raw): 0.08 eV per atom

***

Below is Ac3Sn2 after structural relaxation, with properties calculated at the PBE-GGA level.

a = 4.3169 Å, b = 4.3169 Å, c = 9.9838 Å
α = 102.49°, β = 102.49°, γ = 90.00°
Element x y z (fractional)
Ac 0.0000 0.0000 0.0000
Ac 0.1927 0.1927 0.3855
Ac 0.8073 0.8073 0.6145
Sn 0.3930 0.3930 0.7861
Sn 0.6070 0.6070 0.2139

Results
* energy above the lowest structure with this stoichiometry: 104 meV/atom
* uncorrected energy: -4.554 eV/atom
* calculated formation energy: -0.49 eV per atom
* symmetry: I4/mmm

***

Below is Pr2Sm3YBi6 after structural relaxation, with properties calculated at the PBE-GGA level.

a = 4.5771 Å, b = 9.1480 Å, c = 10.2272 Å
α = 102.91°, β = 102.93°, γ = 90.00°
Element x y z (fractional)
Pr 0.8343 0.6678 0.6685
Pr 0.1657 0.3322 0.3315
Sm 0.5000 0.5000 0.0000
Sm 0.8321 0.1663 0.6642
Sm 0.1679 0.8337 0.3358
Y 0.5000 0.0000 0.0000
Bi 0.3350 0.9215 0.6700
Bi 0.6657 0.5860 0.3314
Bi 0.6650 0.0785 0.3300
Bi 0.9980 0.2457 0.9959
Bi 0.0020 0.7543 0.0041
Bi 0.3343 0.4140 0.6686

Results
* uncorrected energy: -5.385 eV/atom
* calculated formation energy: -0.93 eV per atom
* symmetry: C2/m

***

Below is MgZnIn after structural relaxation, with properties calculated at the PBE-GGA level.

a = 6.1714 Å, b = 6.1938 Å, c = 3.3316 Å
α = 74.00°, β = 74.74°, γ = 31.26°
Element x y z (fractional)
Zn 0.3276 0.3276 0.6724
Mg 0.6813 0.6813 0.3187
In 0.9911 0.9911 0.0089

Results
* uncorrected energy: -1.879 eV/atom
* calculated formation energy: -0.01 eV per atom
* symmetry: Fmm2

***

Below is MgNb4Os5 after structural relaxation, with properties calculated at the PBE-GGA level.

a = 3.1667 Å, b = 3.1667 Å, c = 16.1043 Å
α = 90.00°, β = 90.00°, γ = 90.00°
Element x y z (fractional)
Mg 0.0000 0.0000 0.0000
Nb 0.0000 0.0000 0.1923
Nb 0.0000 0.0000 0.3981
Nb 0.0000 0.0000 0.6019
Nb 0.0000 0.0000 0.8077
Os 0.5000 0.5000 0.1029
Os 0.5000 0.5000 0.2976
Os 0.5000 0.5000 0.5000
Os 0.5000 0.5000 0.7024
Os 0.5000 0.5000 0.8971

Results
* uncorrected energy: -9.949 eV/atom
* calculated formation energy: -0.15 eV per atom
* symmetry: P4/mmm

***

Below is TaTl2W after structural relaxation, with properties calculated at the PBE-GGA level.

a = 5.4711 Å, b = 5.4711 Å, c = 5.4711 Å
α = 135.05°, β = 135.05°, γ = 65.45°
Element x y z (fractional)
Ta 0.7500 0.2500 0.5000
Tl 0.0000 0.0000 0.0000
Tl 0.5000 0.5000 0.0000
W 0.2500 0.7500 0.5000

Results
* energy above the lowest structure with this stoichiometry: 484 meV/atom
* uncorrected energy: -6.386 eV/atom
* calculated formation energy: 1.00 eV per atom
* symmetry: I4/mmm

***

Below is CeZn3GaCu after structural relaxation, with properties calculated at the PBE-GGA level.

a = 5.9250 Å, b = 6.1705 Å, c = 6.8415 Å
α = 116.81°, β = 90.00°, γ = 90.00°
Each line ends with the local moment (μB).
Element x y z (fractional)
Ce 0.7500 0.2803 0.5607  0.88
Ce 0.2500 0.7197 0.4393  0.88
Zn 0.2500 0.1392 0.2785  0.01
Zn 0.0000 0.2926 0.0000  0.00
Zn 0.5000 0.7074 0.0000  0.00
Zn 0.5000 0.2926 0.0000  0.00
Zn 0.0000 0.7074 0.0000  0.00
Zn 0.7500 0.8608 0.7215  0.01
Ga 0.2500 0.3524 0.7049  0.02
Ga 0.7500 0.6476 0.2951  0.02
Cu 0.2500 0.9407 0.8813  0.01
Cu 0.7500 0.0593 0.1187  0.01

Results
* uncorrected energy: -2.909 eV/atom
* calculated formation energy: -0.10 eV per atom
* symmetry: Cmcm